1.
DFT (GGA-PBE) results for an optimized crystal structure of TbTlPd3.

## Properties
* total energy: -5.02 eV per atom
* formation enthalpy at 0 K: -11.653 kcal/mol of atoms
* total magnetization: 0.00 μB/f.u.

Cell and atoms, written as POSCAR:
```
TbTlPd3
1.0
-2.125 4.236 0.390
-5.334 -2.471 -2.227
-2.931 0.602 6.353
Tb Tl Pd
2 2 6
Direct
0.618 0.750 0.265
0.382 0.250 0.735
0.363 0.750 0.775
0.637 0.250 0.225
0.182 0.005 0.136
0.003 0.250 0.492
0.182 0.495 0.136
0.997 0.750 0.508
0.818 0.995 0.864
0.818 0.505 0.864
```


2.
DFT (GGA-PBE) results for an optimized crystal structure of TbTl6Pd12.

## Properties
* total energy: -4.41 eV per atom
* formation enthalpy at 0 K: -3.102 kcal/mol of atoms
* total magnetization: 0.00 μB/f.u.

Cell and atoms, written as POSCAR:
```
TbTl6Pd12
1.0
7.389 -0.248 -0.297
-1.365 7.266 -0.297
-1.365 -1.591 7.096
Tl Pd Tb
6 12 1
Direct
0.454 0.202 0.151
0.546 0.798 0.849
0.151 0.454 0.202
0.202 0.151 0.454
0.849 0.546 0.798
0.798 0.849 0.546
0.983 0.758 0.261
0.261 0.983 0.758
0.575 0.611 0.183
0.389 0.817 0.425
0.611 0.183 0.575
0.425 0.389 0.817
0.017 0.242 0.739
0.183 0.575 0.611
0.242 0.739 0.017
0.739 0.017 0.242
0.817 0.425 0.389
0.758 0.261 0.983
0.000 0.000 0.000
```


3.
DFT (GGA-PBE) results for an optimized crystal structure of Tb3Tl2Pd2.

## Properties
* total energy: -4.77 eV per atom
* formation enthalpy at 0 K: -14.547 kcal/mol of atoms
* total magnetization: 0.00 μB/f.u.

Cell and atoms, written as POSCAR:
```
Tb3Tl2Pd2
1.0
3.913 0.000 0.519
0.000 3.759 0.000
0.424 0.000 11.810
Tl Pd Tb
2 2 3
Direct
0.583 0.500 0.834
0.417 0.500 0.166
0.290 0.500 0.420
0.710 0.500 0.580
0.172 0.000 0.657
0.828 0.000 0.343
0.000 0.000 0.000
```